Computed, not measured: CeMgGa2Ir2 after structural relaxation at the PBE-GGA level of DFT.

Output
space-group type: P-3m1 (164)
E_form: -0.641 eV per atom

POSCAR file:
```
CeMgGa2Ir2
1.0
4.3762 0.0000 0.0000
-2.1881 3.7899 0.0000
0.0000 0.0000 6.6627
Ce Mg Ga Ir
1 1 2 2
Direct
0.0000 0.0000 0.0000 Ce
0.0000 0.0000 0.5000 Mg
0.3333 0.6667 0.3052 Ga
0.6667 0.3333 0.6948 Ga
0.3333 0.6667 0.7211 Ir
0.6667 0.3333 0.2789 Ir
```

---

Computed, not measured: In2BiBr after structural relaxation at the PBE-GGA level of DFT.

Output
uncorrected formation energy: -222 meV/atom
space-group type: Pm (6)

POSCAR file:
```
In2BiBr
1.0
6.5454 0.0000 0.0000
0.0000 4.3607 0.0000
-1.9944 0.0000 9.0569
In Bi Br
4 2 2
Direct
0.0000 0.0000 0.0000 In
0.1739 0.0000 0.5620 In
0.4806 0.0000 0.0880 In
0.6936 0.0000 0.4756 In
0.3361 0.5000 0.3424 Bi
0.8384 0.5000 0.2201 Bi
0.0858 0.5000 0.7808 Br
0.5863 0.0000 0.7816 Br
```

---

Computed, not measured: EuPuZnHg after structural relaxation at the PBE-GGA level of DFT.

Output
space-group type: F-43m (216)
E_form: -0.163 eV per atom

POSCAR file:
```
EuPuZnHg
1.0
7.5291 0.0000 0.0000
0.0000 7.5291 0.0000
0.0000 0.0000 7.5291
Eu Pu Zn Hg
4 4 4 4
Direct
0.0000 0.0000 0.0000 Eu
0.0000 0.5000 0.5000 Eu
0.5000 0.0000 0.5000 Eu
0.5000 0.5000 0.0000 Eu
0.0000 0.0000 0.5000 Pu
0.0000 0.5000 0.0000 Pu
0.5000 0.0000 0.0000 Pu
0.5000 0.5000 0.5000 Pu
0.2500 0.2500 0.2500 Zn
0.2500 0.7500 0.7500 Zn
0.7500 0.2500 0.7500 Zn
0.7500 0.7500 0.2500 Zn
0.2500 0.2500 0.7500 Hg
0.2500 0.7500 0.2500 Hg
0.7500 0.2500 0.2500 Hg
0.7500 0.7500 0.7500 Hg
```

---

Computed, not measured: Ag2WCl after structural relaxation at the PBE-GGA level of DFT.

Output
uncorrected formation energy: 731 meV/atom
space-group type: Immm (71)

POSCAR file:
```
Ag2WCl
1.0
2.8266 0.0000 0.0000
0.0000 4.3650 0.0000
0.0000 0.0000 12.6644
Ag W Cl
4 2 2
Direct
0.0000 0.0000 0.1992 Ag
0.0000 0.0000 0.8008 Ag
0.5000 0.5000 0.3008 Ag
0.5000 0.5000 0.6992 Ag
0.0000 0.5000 0.5000 W
0.5000 0.0000 0.0000 W
0.0000 0.5000 0.0000 Cl
0.5000 0.0000 0.5000 Cl
```

---

| no. | N(E_F) (states/eV per atom) |
| --- | --- |
| 1 | 0.7624 |
| 2 | 0.2976 |
| 3 | 4.5252 |
| 4 | 0.7067 |